This record from Alexandria via LeMat-Bulk describes an optimized crystal structure of YTlRh2. The functional is PBE.

The structure in POSCAR format:
```
YTlRh2
1.0
8.458 0.023 0.014
7.768 3.345 0.014
7.768 1.612 2.930
Y Rh Tl
1 2 1
Direct
0.750 0.750 0.750
0.500 0.500 0.500
0.000 0.000 0.000
0.250 0.250 0.250
```

Output
For the volume, the calculation gives 82.0 Å³ per cell. Its spin magnetization is 0.00 μB per cell. The value obtained for the formation energy from the elements is -0.126 eV per atom.

***

This record from Alexandria via LeMat-Bulk describes an optimized crystal structure of Na3B4C2. The functional is PBE.

The structure in POSCAR format:
```
Na3B4C2
1.0
2.879 0.000 0.000
-1.439 2.493 0.000
0.000 0.000 25.598
B Na C
8 6 4
Direct
0.333 0.667 0.082
0.667 0.333 0.418
0.333 0.667 0.586
0.333 0.667 0.914
0.667 0.333 0.082
0.667 0.333 0.750
0.333 0.667 0.418
0.333 0.667 0.250
0.000 0.000 0.832
0.000 0.000 0.503
0.000 0.000 0.668
0.000 0.000 0.997
0.000 0.000 0.167
0.000 0.000 0.333
0.667 0.333 0.914
0.667 0.333 0.586
0.333 0.667 0.750
0.667 0.333 0.250
```

Output
For the volume, the calculation gives 183.7 Å³ per cell. Its spin magnetization is 0.00 μB per cell. The value obtained for the formation energy from the elements is 0.130 eV per atom. The value obtained for the energy above the most stable polymorph in this dataset is 28 kJ/mol of formula units.

***

> What is the formation energy from the elements in the second record?

0.130 eV per atom